Tb2Pr6TmMg: optimized geometry, PBE.

Unit cell a=9.9076 b=8.7851 c=8.7851 alpha=115.41 beta=95.68 gamma=95.68
Element x y z (fractional)
Tb 0.4447 0.8054 0.7151
Tb 0.0553 0.2849 0.1946
Tb 0.5553 0.1946 0.2849
Tb 0.9447 0.7151 0.8054
Pr 0.0501 0.1191 0.7537
Pr 0.4499 0.2463 0.8809
Pr 0.9499 0.8809 0.2463
Pr 0.5501 0.7537 0.1191
Pr 0.3074 0.9991 0.4294
Pr 0.1926 0.5706 0.0009
Pr 0.6926 0.0009 0.5706
Pr 0.8074 0.4294 0.9991
Pr 0.1129 0.6990 0.5082
Pr 0.3871 0.4918 0.3010
Pr 0.8871 0.3010 0.4918
Pr 0.6129 0.5082 0.6990
Tm 0.2500 0.9823 0.0177
Tm 0.7500 0.0177 0.9823
Mg 0.2500 0.4047 0.5953
Mg 0.7500 0.5953 0.4047

Results
SG: C2/c
DFT formation energy: 112 meV/atom

TbPr2YMg: optimized geometry, PBE.

Unit cell a=7.2835 b=7.5625 c=5.9896 alpha=90.00 beta=90.00 gamma=90.00
Element x y z (fractional)
Tb 0.1529 0.5000 0.7500
Tb 0.8471 0.5000 0.2500
Pr 0.6937 0.7143 0.7500
Pr 0.6937 0.2857 0.7500
Pr 0.3063 0.7143 0.2500
Pr 0.3063 0.2857 0.2500
Y 0.6262 0.0000 0.2500
Y 0.3738 0.0000 0.7500
Mg 0.0000 0.0000 0.0000
Mg 0.0000 0.0000 0.5000

Results
SG: Pmma
DFT formation energy: 155 meV/atom

Tb2Pr4YMg: optimized geometry, PBE.

Unit cell a=5.1231 b=5.1262 c=11.2769 alpha=62.95 beta=90.00 gamma=90.00
Element x y z (fractional)
Tb 0.0000 0.0000 0.0000
Tb 0.5000 0.0000 0.5000
Pr 0.0000 0.7451 0.7549
Pr 0.0000 0.2549 0.2451
Pr 0.5000 0.7542 0.2453
Pr 0.5000 0.2458 0.7547
Y 0.0000 0.5000 0.5000
Mg 0.5000 0.5000 0.0000

Results
SG: P4/mmm
DFT formation energy: 4 meV/atom

TbPr6Y2Mg: optimized geometry, PBE.

Unit cell a=9.4881 b=8.7009 c=8.7009 alpha=105.28 beta=96.07 gamma=96.07
Element x y z (fractional)
Tb 0.2500 0.9336 0.0664
Tb 0.7500 0.0664 0.9336
Pr 0.0781 0.0784 0.7440
Pr 0.4219 0.2560 0.9216
Pr 0.9219 0.9216 0.2560
Pr 0.5781 0.7440 0.0784
Pr 0.3282 0.0349 0.4611
Pr 0.1718 0.5389 0.9651
Pr 0.6718 0.9651 0.5389
Pr 0.8282 0.4611 0.0349
Pr 0.0962 0.6736 0.4348
Pr 0.4038 0.5652 0.3264
Pr 0.9038 0.3264 0.5652
Pr 0.5962 0.4348 0.6736
Y 0.4045 0.8017 0.7346
Y 0.0955 0.2654 0.1983
Y 0.5955 0.1983 0.2654
Y 0.9045 0.7346 0.8017
Mg 0.2500 0.4033 0.5967
Mg 0.7500 0.5967 0.4033

Results
SG: C2/c
DFT formation energy: 102 meV/atom

TbPr2Y4Mg: optimized geometry, PBE.

Unit cell a=5.0167 b=5.0280 c=11.3978 alpha=63.82 beta=90.00 gamma=90.00
Element x y z (fractional)
Tb 0.5000 0.5000 0.0000
Pr 0.0000 0.0000 0.0000
Pr 0.5000 0.0000 0.5000
Y 0.0000 0.7517 0.7482
Y 0.0000 0.2483 0.2518
Y 0.5000 0.7481 0.2518
Y 0.5000 0.2519 0.7482
Mg 0.0000 0.5000 0.5000

Results
SG: Pmmm
DFT formation energy: 29 meV/atom

Tb6Pr3Y2Mg: optimized geometry, PBE.

Unit cell a=6.2171 b=6.2171 c=11.8289 alpha=95.06 beta=95.06 gamma=120.06
Element x y z (fractional)
Tb 0.9196 0.5878 0.7556
Tb 0.7486 0.7486 0.2453
Tb 0.0804 0.4122 0.2444
Tb 0.5878 0.9196 0.7556
Tb 0.2514 0.2514 0.7547
Tb 0.4122 0.0804 0.2444
Pr 0.1661 0.8339 0.5000
Pr 0.8339 0.1661 0.5000
Pr 0.5000 0.5000 0.5000
Y 0.3337 0.6663 0.0000
Y 0.6663 0.3337 0.0000
Mg 0.0000 0.0000 0.0000

Results
SG: C2/m
DFT formation energy: 32 meV/atom

Tb2Pr3Y6Mg: optimized geometry, PBE.

Unit cell a=6.2214 b=6.2214 c=11.8383 alpha=95.05 beta=95.05 gamma=120.04
Element x y z (fractional)
Tb 0.3337 0.6663 0.0000
Tb 0.6663 0.3337 0.0000
Pr 0.1656 0.8344 0.5000
Pr 0.8344 0.1656 0.5000
Pr 0.5000 0.5000 0.5000
Y 0.9193 0.5877 0.7557
Y 0.7491 0.7491 0.2449
Y 0.0807 0.4123 0.2443
Y 0.5877 0.9193 0.7557
Y 0.2509 0.2509 0.7551
Y 0.4123 0.0807 0.2443
Mg 0.0000 0.0000 0.0000

Results
SG: C2/m
DFT formation energy: 31 meV/atom

TbPrMgZn: optimized geometry, PBE.

Unit cell a=5.2952 b=5.2952 c=5.2952 alpha=60.00 beta=60.00 gamma=60.00
Element x y z (fractional)
Pr 0.0000 0.0000 0.0000
Zn 0.2500 0.2500 0.2500
Tb 0.5000 0.5000 0.5000
Mg 0.7500 0.7500 0.7500

Results
SG: F-43m
DFT formation energy: -176 meV/atom

TbPrMgZn: optimized geometry, PBE.

Unit cell a=3.6820 b=3.6820 c=7.8132 alpha=90.00 beta=90.00 gamma=90.00
Element x y z (fractional)
Tb 0.0000 0.0000 0.3302
Pr 0.0000 0.0000 0.8797
Mg 0.5000 0.5000 0.5937
Zn 0.5000 0.5000 0.1244

Results
SG: P4mm
DFT formation energy: -208 meV/atom

TbPrMgZr: optimized geometry, PBE.

Unit cell a=5.4237 b=5.4237 c=5.4237 alpha=60.00 beta=60.00 gamma=60.00
Last column: magnetic moment on the atom in μB.
Element x y z (fractional)
Pr 0.5000 0.5000 0.5000  0.15
Mg 0.2500 0.2500 0.2500  -0.01
Tb 0.0000 0.0000 0.0000  0.27
Zr 0.7500 0.7500 0.7500  0.79

Results
SG: F-43m
DFT formation energy: 134 meV/atom

Pr3MgTc: optimized geometry, PBE.

Unit cell a=5.5012 b=5.5012 c=5.5012 alpha=90.00 beta=90.00 gamma=90.00
Element x y z (fractional)
Pr 0.0000 0.5000 0.0000
Pr 0.0000 0.0000 0.5000
Pr 0.5000 0.0000 0.0000
Mg 0.5000 0.5000 0.5000
Tc 0.0000 0.0000 0.0000

Results
SG: Pm-3m
DFT formation energy: 160 meV/atom

PrMgTc4: optimized geometry, PBE.

Unit cell a=5.3774 b=5.3774 c=5.3774 alpha=60.00 beta=60.00 gamma=60.00
Element x y z (fractional)
Pr 0.2500 0.2500 0.2500
Mg 0.0000 0.0000 0.0000
Tc 0.6255 0.6255 0.1236
Tc 0.6255 0.1236 0.6255
Tc 0.6255 0.6255 0.6255
Tc 0.1236 0.6255 0.6255

Results
SG: F-43m
DFT formation energy: 140 meV/atom

Pr6MgTc2: optimized geometry, PBE.

Unit cell a=8.9137 b=8.9137 c=8.9137 alpha=106.28 beta=110.92 gamma=111.25
Element x y z (fractional)
Pr 0.4774 0.2860 0.1914
Pr 0.5226 0.7140 0.8086
Pr 0.9054 0.7140 0.1914
Pr 0.0946 0.2860 0.8086
Pr 0.2160 0.7722 0.9883
Pr 0.7840 0.2278 0.0117
Pr 0.7840 0.7722 0.5562
Pr 0.2160 0.2278 0.4438
Pr 0.2934 0.9827 0.6893
Pr 0.7066 0.0173 0.3107
Pr 0.7066 0.3959 0.6893
Pr 0.2934 0.6041 0.3107
Mg 0.0000 0.5000 0.5000
Mg 0.0000 0.0000 0.0000
Tc 0.5000 0.3900 0.8900
Tc 0.5000 0.6100 0.1100
Tc 0.3813 0.0000 0.3813
Tc 0.6187 0.0000 0.6187

Results
SG: Immm
DFT formation energy: 33 meV/atom

PrMgTe2: optimized geometry, PBE.

Unit cell a=4.5271 b=4.5272 c=27.6240 alpha=90.00 beta=90.00 gamma=60.00
Element x y z (fractional)
Pr 0.3289 0.0000 0.1667
Pr 0.6711 0.3289 0.8333
Pr 0.0000 0.6711 0.5000
Mg 0.0000 0.6526 0.0000
Mg 0.6526 0.3474 0.3333
Mg 0.3474 0.0000 0.6667
Te 0.0046 0.6626 0.8998
Te 0.3329 0.0045 0.5665
Te 0.6626 0.3329 0.2332
Te 0.6671 0.3374 0.4335
Te 0.9954 0.6671 0.1002
Te 0.3374 0.9954 0.7668

Results
Raw formation energy: -805 meV per atom
SG: P3_221

PrMgTe2: optimized geometry, PBE.

Unit cell a=4.2842 b=4.2842 c=7.9442 alpha=74.36 beta=74.36 gamma=60.00
Last column: magnetic moment on the atom in μB.
Element x y z (fractional)
Pr 0.5009 0.5009 0.4974  0.32
Mg 0.6671 0.6671 0.9986  0.01
Te 0.0730 0.0730 0.7809  0.00
Te 0.2590 0.2590 0.2231  0.00

Results
Raw formation energy: -1100 meV per atom
SG: R3m

Pr2MgTe3: optimized geometry, PBE.

Unit cell a=7.9981 b=7.9981 c=8.5140 alpha=61.98 beta=61.98 gamma=60.00
Element x y z (fractional)
Pr 0.1644 0.1644 0.5069
Pr 0.3356 0.3356 0.9931
Pr 0.8356 0.8356 0.4931
Pr 0.6644 0.6644 0.0069
Mg 0.5000 0.5000 0.5000
Mg 0.0000 0.0000 0.0000
Te 0.9146 0.5854 0.2500
Te 0.2500 0.9146 0.2500
Te 0.7500 0.0854 0.7500
Te 0.4146 0.7500 0.7500
Te 0.0854 0.4146 0.7500
Te 0.5854 0.2500 0.2500

Results
Raw formation energy: -1142 meV per atom
SG: R-3c

Pr5MgTe8: optimized geometry, PBE.

Unit cell a=8.2986 b=8.2986 c=8.2986 alpha=110.17 beta=108.09 gamma=110.17
Element x y z (fractional)
Pr 0.0076 0.3749 0.1329
Pr 0.8671 0.8747 0.2419
Pr 0.7581 0.6251 0.6327
Pr 0.5000 0.0000 0.5000
Pr 0.3673 0.1253 0.9924
Mg 0.2500 0.5000 0.7500
Te 0.1413 0.7440 0.0183
Te 0.9817 0.1230 0.7257
Te 0.7608 0.2429 0.3593
Te 0.6407 0.4015 0.8836
Te 0.4822 0.5985 0.2392
Te 0.6027 0.8770 0.8587
Te 0.2743 0.2560 0.3973
Te 0.1164 0.7571 0.5178

Results
Raw formation energy: -1333 meV per atom
SG: I-4

PrMgTe2: optimized geometry, PBE.

Unit cell a=4.2560 b=4.2560 c=8.0073 alpha=74.59 beta=74.59 gamma=60.00
Element x y z (fractional)
Pr 0.5000 0.5000 0.5000
Mg 0.0000 0.0000 0.0000
Te 0.2588 0.2588 0.2236
Te 0.7412 0.7412 0.7764

Results
Raw formation energy: -1077 meV per atom
SG: R-3m

Pr3MgTe6: optimized geometry, PBE.

Unit cell a=7.7332 b=9.6619 c=9.6619 alpha=99.65 beta=90.00 gamma=90.00
Element x y z (fractional)
Pr 0.4878 0.9199 0.7258
Pr 0.9878 0.7258 0.9199
Pr 0.3802 0.4013 0.5987
Pr 0.8802 0.5987 0.4013
Pr 0.9878 0.0801 0.2742
Pr 0.4878 0.2742 0.0801
Mg 0.0133 0.2074 0.7926
Mg 0.5133 0.7926 0.2074
Te 0.1827 0.7040 0.6237
Te 0.6827 0.6237 0.7040
Te 0.2080 0.4456 0.9066
Te 0.7080 0.9066 0.4456
Te 0.1818 0.0364 0.9636
Te 0.6531 0.2291 0.7709
Te 0.1531 0.7709 0.2291
Te 0.6818 0.9636 0.0364
Te 0.2080 0.0934 0.5544
Te 0.7080 0.5544 0.0934
Te 0.1827 0.3763 0.2960
Te 0.6827 0.2960 0.3763

Results
Raw formation energy: -1197 meV per atom
SG: Cmc2_1

Pr6MgTe8: optimized geometry, PBE.

Unit cell a=8.3751 b=8.3751 c=8.3751 alpha=68.63 beta=68.63 gamma=68.63
Element x y z (fractional)
Pr 0.0840 0.4634 0.6883
Pr 0.3117 0.9160 0.5366
Pr 0.5366 0.3117 0.9160
Pr 0.4634 0.6883 0.0840
Pr 0.6883 0.0840 0.4634
Pr 0.9160 0.5366 0.3117
Mg 0.0000 0.0000 0.0000
Te 0.1758 0.6490 0.9078
Te 0.0922 0.8242 0.3510
Te 0.3510 0.0922 0.8242
Te 0.6729 0.6729 0.6729
Te 0.3271 0.3271 0.3271
Te 0.6490 0.9078 0.1758
Te 0.9078 0.1758 0.6490
Te 0.8242 0.3510 0.0922

Results
Raw formation energy: -1317 meV per atom
SG: R-3

Pr2ThMgTe5: optimized geometry, PBE.

Unit cell a=4.3060 b=9.7169 c=14.1027 alpha=90.00 beta=90.00 gamma=102.80
Element x y z (fractional)
Pr 0.8580 0.7159 0.8197
Pr 0.1074 0.2148 0.6843
Pr 0.1420 0.2841 0.3197
Pr 0.8926 0.7852 0.1843
Th 0.7973 0.5945 0.5105
Th 0.2027 0.4055 0.0105
Mg 0.5418 0.0836 0.9476
Mg 0.4582 0.9164 0.4476
Te 0.3687 0.7374 0.0046
Te 0.6823 0.3646 0.8440
Te 0.4872 0.9743 0.7714
Te 0.2826 0.5653 0.6735
Te 0.9536 0.9072 0.5683
Te 0.6313 0.2626 0.5046
Te 0.3177 0.6354 0.3440
Te 0.5128 0.0257 0.2714
Te 0.7174 0.4347 0.1735
Te 0.0464 0.0928 0.0683

Results
Raw formation energy: -1150 meV per atom
SG: Cmc2_1

| no. | density of states at the Fermi level (states/eV/f.u.) |
| --- | --- |
| 1 | 14.57 |
| 2 | 7.44 |
| 3 | 10.26 |
| 4 | 13.94 |
| 5 | 12.96 |
| 6 | 17.85 |
| 7 | 18.59 |
| 8 | 3.95 |
| 9 | 4.39 |
| 10 | 4.74 |
| 11 | 4.29 |
| 12 | 3.96 |
| 13 | 10.09 |
| 14 | 3.23 |
| 15 | 1.21 |
| 16 | 2.69 |
| 17 | 6.14 |
| 18 | 2.41 |
| 19 | 5.07 |
| 20 | 5.43 |
| 21 | 6.22 |